No. 1
This record from Alexandria describes a geometry-optimized Ac2DyAsO6 structure. The functional is PBE-GGA.

Cell lengths 6.081, 6.017, 6.081 Å; angles 59.90, 58.93, 89.26 degrees
Positions (direct):
1 Ac 0.751 0.230 0.521
2 Ac 0.249 0.770 0.479
3 Dy 0.000 0.000 0.000
4 As 0.500 0.500 0.000
5 O 0.186 0.188 0.492
6 O 0.746 0.633 0.114
7 O 0.321 0.812 0.001
8 O 0.679 0.188 0.999
9 O 0.254 0.367 0.887
10 O 0.814 0.812 0.508

ρ = 8.41 Mg/m³
Magnetic moment = 0.000 μB/atom
Final energy = -7.476 eV/atom
Energy relative to the elements, uncorrected = -2.754 eV/atom

No. 2
This record from Alexandria describes a geometry-optimized KRbTe2Au2 structure. The functional is PBE-GGA.

Cell lengths 4.765, 4.765, 10.330 Å; angles 90.00, 90.00, 120.00 degrees
Positions (direct):
1 K 0.000 0.000 0.500
2 Rb 0.000 0.000 0.000
3 Te 0.667 0.333 0.742
4 Te 0.333 0.667 0.258
5 Au 0.667 0.333 0.260
6 Au 0.333 0.667 0.740

ρ = 6.32 Mg/m³
Magnetic moment = 0.000 μB/atom
Final energy = -3.165 eV/atom
Energy relative to the elements, uncorrected = -0.681 eV/atom

No. 3
This record from Alexandria describes a geometry-optimized RbSr2Np2O7 structure. The functional is PBE-GGA.

Cell lengths 4.579, 4.584, 10.494 Å; angles 102.62, 102.60, 90.01 degrees
Last column: magnetic moment on the atom in μB.
Positions (direct):
1 Rb 0.000 0.000 0.000  0.01
2 Sr 0.250 0.750 0.501  0.01
3 Sr 0.750 0.250 0.499  0.01
4 Np 0.393 0.393 0.787  2.72
5 Np 0.607 0.607 0.213  2.72
6 O 0.383 0.883 0.766  -0.10
7 O 0.716 0.716 0.431  -0.04
8 O 0.117 0.617 0.234  -0.10
9 O 0.617 0.117 0.234  -0.10
10 O 0.284 0.284 0.569  -0.04
11 O 0.883 0.383 0.766  -0.10
12 O 0.500 0.500 0.000  -0.10

ρ = 6.71 Mg/m³
Magnetic moment = 0.417 μB/atom
Final energy = -8.101 eV/atom
Energy relative to the elements, uncorrected = -2.691 eV/atom

No. 4
This record from Alexandria describes a geometry-optimized LiOF3 structure. The functional is PBE-GGA.

Cell lengths 3.780, 3.780, 3.780 Å; angles 90.00, 90.00, 90.00 degrees
Positions (direct):
1 Li 0.500 0.500 0.500
2 O 0.000 0.000 0.000
3 F 0.000 0.500 0.000
4 F 0.000 0.000 0.500
5 F 0.500 0.000 0.000

ρ = 2.46 Mg/m³
Magnetic moment = 0.000 μB/atom
Energy above the most stable polymorph in this dataset = 482 meV per atom
Final energy = -3.154 eV/atom
Energy relative to the elements, uncorrected = -0.657 eV/atom

No. 5
This record from Alexandria describes a geometry-optimized TaW3S structure. The functional is PBE-GGA.

Cell lengths 4.418, 4.418, 4.418 Å; angles 90.00, 90.00, 90.00 degrees
Positions (direct):
1 S 0.000 0.000 0.000
2 W 0.000 0.500 0.000
3 W 0.000 0.000 0.500
4 W 0.500 0.000 0.000
5 Ta 0.500 0.500 0.500

ρ = 14.72 Mg/m³
Magnetic moment = 0.000 μB/atom
Energy above the most stable polymorph in this dataset = 0 meV per atom
Final energy = -10.207 eV/atom
Energy relative to the elements, uncorrected = 0.761 eV/atom

No. 6
This record from Alexandria describes a geometry-optimized BC3 structure. The functional is PBE-GGA.

Cell lengths 2.571, 2.571, 12.960 Å; angles 90.00, 90.00, 120.00 degrees
Positions (direct):
1 B 0.000 0.000 0.880
2 B 0.667 0.333 0.709
3 B 0.667 0.333 0.332
4 C 0.667 0.333 0.830
5 C 0.333 0.667 0.655
6 C 0.000 0.000 0.382
7 C 0.000 0.000 0.497
8 C 0.333 0.667 0.540
9 C 0.333 0.667 0.169
10 C 0.667 0.333 0.205
11 C 0.000 0.000 0.008
12 C 0.333 0.667 0.043

ρ = 3.14 Mg/m³
Magnetic moment = 0.000 μB/atom
Energy above the most stable polymorph in this dataset = 57 meV per atom
Final energy = -8.289 eV/atom
Formation enthalpy at 0 K = 1.19 eV/f.u.